No. 1
The following is a PBE-GGA calculation of a geometry-optimized SrCa4Pt structure, from Alexandria.

Cell: 9.579 9.579 9.579 Å, 90.00 90.00 90.00°
Space group F-43m (No. 216)
One atom of each set of equivalent atoms:
Sr: 0.000 0.000 0.000 [4 per cell]
Ca: 0.124 0.124 0.624 [16 per cell]
Pt: 0.250 0.250 0.250 [4 per cell]

Calculated values
**Crystal system**: cubic

---

No. 2
The following is a PBE-GGA calculation of a geometry-optimized SrCa3Pt structure, from Alexandria.

Cell: 9.832 6.926 10.919 Å, 90.00 96.20 90.00°
Space group P2_1/c (No. 14)
One atom of each set of equivalent atoms:
Sr: 0.104 0.020 0.181 [4 per cell]
Ca: 0.175 0.543 0.047 [4 per cell]
Ca: 0.323 0.068 0.909 [4 per cell]
Ca: 0.468 0.600 0.851 [4 per cell]
Pt: 0.400 0.721 0.595 [4 per cell]

Calculated values
**Crystal system**: monoclinic

---

No. 3
The following is a PBE-GGA calculation of a geometry-optimized SrCa2Pt structure, from Alexandria.

Cell: 4.242 13.132 9.437 Å, 90.00 90.00 90.00°
Space group Cmcm (No. 63)
One atom of each set of equivalent atoms:
Sr: 0.000 0.072 0.250 [4 per cell]
Ca: 0.000 0.344 0.066 [8 per cell]
Pt: 0.000 0.252 0.750 [4 per cell]

Calculated values
**Crystal system**: orthorhombic

---

no.,formation energy from the elements (eV/atom),E above lowest polymorph (meV per atom)
1,0.35,646
2,-0.43,54
3,-0.60,0